# 1
A geometry-optimized RbInI4 structure. Source: Alexandria via LeMat-Bulk, functional GGA-PBEsol.

abc: 14.3245 14.3245 14.3245
angles: 115.05 115.05 115.05
Fractional coordinates of all 36 atoms:
Rb 0.0105 0.1975 0.7920
Rb 0.1975 0.7920 0.0105
Rb 0.2920 0.6975 0.5105
Rb 0.5105 0.2920 0.6975
Rb 0.6975 0.5105 0.2920
Rb 0.7920 0.0105 0.1975
In 0.0246 0.8138 0.2081
In 0.2081 0.0246 0.8138
In 0.3138 0.5246 0.7081
In 0.5246 0.7081 0.3138
In 0.7081 0.3138 0.5246
In 0.8138 0.2081 0.0246
I 0.0488 0.3110 0.6038
I 0.0507 0.4215 0.0971
I 0.0971 0.0507 0.4215
I 0.1038 0.8110 0.5488
I 0.2719 0.4175 0.4696
I 0.2818 0.8840 0.3447
I 0.3110 0.6038 0.0488
I 0.3447 0.2818 0.8840
I 0.3840 0.7818 0.8447
I 0.4175 0.4696 0.2719
I 0.4215 0.0971 0.0507
I 0.4696 0.2719 0.4175
I 0.5488 0.1038 0.8110
I 0.5507 0.5971 0.9215
I 0.5971 0.9215 0.5507
I 0.6038 0.0488 0.3110
I 0.7719 0.9696 0.9175
I 0.7818 0.8447 0.3840
I 0.8110 0.5488 0.1038
I 0.8447 0.3840 0.7818
I 0.8840 0.3447 0.2818
I 0.9175 0.7719 0.9696
I 0.9215 0.5507 0.5971
I 0.9696 0.9175 0.7719

Values from the calculation:
The total energy is -16.085 eV/f.u.

---

# 2
A geometry-optimized Rb2InSbI6 structure. Source: Alexandria via LeMat-Bulk, functional GGA-PBEsol.

abc: 8.6150 8.6150 8.6150
angles: 60.00 60.00 60.00
Fractional coordinates of all 10 atoms:
Rb 0.2500 0.2500 0.2500
Rb 0.7500 0.7500 0.7500
In 0.0000 0.0000 0.0000
Sb 0.5000 0.5000 0.5000
I 0.2541 0.2541 0.7459
I 0.2541 0.7459 0.2541
I 0.2541 0.7459 0.7459
I 0.7459 0.2541 0.2541
I 0.7459 0.2541 0.7459
I 0.7459 0.7459 0.2541

Values from the calculation:
The total energy is -28.137 eV/f.u.

---

# 3
A geometry-optimized InRe3I structure. Source: Alexandria via LeMat-Bulk, functional GGA-PBEsol.

abc: 4.8520 4.8520 4.8520
angles: 90.00 90.00 90.00
Fractional coordinates of all 5 atoms:
In 0.0000 0.0000 0.0000
Re 0.0000 0.0000 0.5000
Re 0.0000 0.5000 0.0000
Re 0.5000 0.0000 0.0000
I 0.5000 0.5000 0.5000

Values from the calculation:
The total energy is -28.479 eV/f.u.

---

# 4
A geometry-optimized In2ReI structure. Source: Alexandria via LeMat-Bulk, functional GGA-PBEsol.

abc: 4.9631 4.9631 4.9631
angles: 60.00 60.00 60.00
Fractional coordinates of all 4 atoms:
In 0.2500 0.2500 0.2500
In 0.7500 0.7500 0.7500
Re 0.0000 0.0000 0.0000
I 0.5000 0.5000 0.5000

Values from the calculation:
The total energy is -16.254 eV/f.u.

---

| no. | formation energy from raw total energies (eV per atom) |
| --- | --- |
| 1 | -0.835 |
| 2 | -0.795 |
| 3 | 3.253 |
| 4 | 1.203 |